Record 1
Material: ReTcTe2
Method: DFT, PBE-GGA
State: optimized geometry

## Properties
The value obtained for the excess energy over the best structure of this formula in the dataset is 534 meV per atom. For the magnetic moment, the calculation gives 0.000 μB per cell. For the uncorrected formation energy, the calculation gives 3.1 eV/f.u. The value obtained for the total energy is -6.508 eV/atom.

Lattice parameters (Å, degrees): 5.838 5.838 5.838 147.58 133.58 57.76
Fractional coordinates of all 4 atoms:
Tc1 0.768 0.268 0.500
Te1 0.987 0.987 0.000
Te2 0.264 0.764 0.500
Re1 0.481 0.481 0.000

***

Record 2
Material: ReTc2Te
Method: DFT, PBE-GGA
State: optimized geometry

## Properties
For the magnetic moment, the calculation gives 0.000 μB per cell. For the uncorrected formation energy, the calculation gives 2.2 eV/f.u. The value obtained for the total energy is -8.533 eV/atom.

Lattice parameters (Å, degrees): 4.890 4.890 4.890 131.72 131.72 70.67
Fractional coordinates of all 4 atoms:
Te1 0.250 0.750 0.500
Tc1 0.000 0.000 0.000
Tc2 0.500 0.500 0.000
Re1 0.750 0.250 0.500

***

Record 3
Material: ReTc2Te
Method: DFT, PBE-GGA
State: optimized geometry

## Properties
For the magnetic moment, the calculation gives 0.000 μB per cell. For the uncorrected formation energy, the calculation gives 2.0 eV/f.u. The value obtained for the total energy is -8.576 eV/atom.

Lattice parameters (Å, degrees): 8.848 8.848 8.848 19.26 19.26 19.26
Fractional coordinates of all 4 atoms:
Tc1 0.000 0.000 0.000
Tc2 0.747 0.747 0.747
Te1 0.499 0.499 0.499
Re1 0.253 0.253 0.253

***

Record 4
Material: ReTc2Te
Method: DFT, PBE-GGA
State: optimized geometry

## Properties
For the magnetic moment, the calculation gives 0.000 μB per cell. For the uncorrected formation energy, the calculation gives 1.6 eV/f.u. The value obtained for the total energy is -8.670 eV/atom.

Lattice parameters (Å, degrees): 8.840 8.840 8.840 19.27 19.27 19.27
Fractional coordinates of all 4 atoms:
Tc1 0.997 0.997 0.997
Tc2 0.503 0.503 0.503
Te1 0.750 0.750 0.750
Re1 0.250 0.250 0.250

***

Record 5
Material: ReTc2Te
Method: DFT, PBE-GGA
State: optimized geometry

## Properties
For the magnetic moment, the calculation gives 0.000 μB per cell. For the uncorrected formation energy, the calculation gives 1.9 eV/f.u. The value obtained for the total energy is -8.603 eV/atom.

Lattice parameters (Å, degrees): 5.355 5.355 5.355 146.30 130.06 61.60
Fractional coordinates of all 4 atoms:
Tc1 0.729 0.229 0.500
Tc2 0.006 0.006 0.000
Te1 0.500 0.500 0.000
Re1 0.265 0.765 0.500

***

Record 6
Material: ReTcTe2
Method: DFT, PBE-GGA
State: optimized geometry

## Properties
The value obtained for the excess energy over the best structure of this formula in the dataset is 881 meV per atom. For the magnetic moment, the calculation gives 0.000 μB per cell. For the uncorrected formation energy, the calculation gives 4.5 eV/f.u. The value obtained for the total energy is -6.161 eV/atom.

Lattice parameters (Å, degrees): 3.240 5.543 4.356 90.00 90.00 90.00
Fractional coordinates of all 4 atoms:
Tc1 0.000 0.500 0.500
Te1 0.000 0.000 0.000
Te2 0.500 0.500 0.000
Re1 0.500 0.000 0.500

***

Record 7
Material: ReTcTe2
Method: DFT, PBE-GGA
State: optimized geometry

## Properties
The value obtained for the excess energy over the best structure of this formula in the dataset is 966 meV per atom. For the magnetic moment, the calculation gives 0.223 μB per cell. For the uncorrected formation energy, the calculation gives 4.8 eV/f.u. The value obtained for the total energy is -6.076 eV/atom.

Lattice parameters (Å, degrees): 4.787 4.787 4.787 60.00 60.00 60.00
Fractional coordinates of all 4 atoms:
Te1 0.750 0.750 0.750
Te2 0.000 0.000 0.000
Tc1 0.250 0.250 0.250
Re1 0.500 0.500 0.500

***

Record 8
Material: ReTc2Te
Method: DFT, PBE-GGA
State: optimized geometry

## Properties
For the magnetic moment, the calculation gives 0.000 μB per cell. For the uncorrected formation energy, the calculation gives 2.0 eV/f.u. The value obtained for the total energy is -8.587 eV/atom.

Lattice parameters (Å, degrees): 2.979 3.892 5.682 90.00 90.00 90.00
Fractional coordinates of all 4 atoms:
Tc1 0.000 0.000 0.977
Tc2 0.000 0.000 0.523
Te1 0.500 0.500 0.250
Re1 0.500 0.500 0.750

***

Record 9
Material: ReTcTe2
Method: DFT, PBE-GGA
State: optimized geometry

## Properties
The value obtained for the excess energy over the best structure of this formula in the dataset is 875 meV per atom. For the magnetic moment, the calculation gives 0.001 μB per cell. For the uncorrected formation energy, the calculation gives 4.4 eV/f.u. The value obtained for the total energy is -6.167 eV/atom.

Lattice parameters (Å, degrees): 4.380 3.069 5.909 94.89 90.00 90.00
Fractional coordinates of all 4 atoms:
Te1 0.000 0.019 0.998
Te2 0.000 0.481 0.502
Tc1 0.500 0.750 0.750
Re1 0.500 0.250 0.250

***

Record 10
Material: ReTc2Te
Method: DFT, PBE-GGA
State: optimized geometry

## Properties
For the magnetic moment, the calculation gives 0.000 μB per cell. For the uncorrected formation energy, the calculation gives 1.6 eV/f.u. The value obtained for the total energy is -8.669 eV/atom.

Lattice parameters (Å, degrees): 3.085 3.085 6.827 90.00 90.00 90.00
Fractional coordinates of all 4 atoms:
Tc1 0.000 0.000 0.997
Tc2 0.500 0.500 0.246
Re1 0.500 0.500 0.765
Te1 0.000 0.000 0.492

***

Record 11
Material: ReTc2Te
Method: DFT, PBE-GGA
State: optimized geometry

## Properties
For the magnetic moment, the calculation gives 0.000 μB per cell. For the uncorrected formation energy, the calculation gives 1.9 eV/f.u. The value obtained for the total energy is -8.604 eV/atom.

Lattice parameters (Å, degrees): 4.082 2.941 5.768 75.29 90.00 90.00
Fractional coordinates of all 4 atoms:
Te1 0.000 0.707 0.464
Tc1 0.500 0.314 0.249
Tc2 0.000 0.943 0.989
Re1 0.500 0.537 0.798

***

Record 12
Material: ReTcTe2
Method: DFT, PBE-GGA
State: optimized geometry

## Properties
The value obtained for the excess energy over the best structure of this formula in the dataset is 876 meV per atom. For the magnetic moment, the calculation gives 0.000 μB per cell. For the uncorrected formation energy, the calculation gives 4.4 eV/f.u. The value obtained for the total energy is -6.166 eV/atom.

Lattice parameters (Å, degrees): 3.200 3.200 8.726 90.00 90.00 119.19
Fractional coordinates of all 4 atoms:
Re1 0.500 0.500 0.250
Tc1 0.500 0.500 0.750
Te1 0.000 0.000 0.998
Te2 0.000 0.000 0.502

***

Record 13
Material: Re3TcTe
Method: DFT, PBE-GGA
State: optimized geometry

## Properties
The value obtained for the excess energy over the best structure of this formula in the dataset is 0 meV per atom. For the magnetic moment, the calculation gives 0.000 μB per cell. For the uncorrected formation energy, the calculation gives 10.4 eV/f.u. The value obtained for the total energy is -8.085 eV/atom.

Lattice parameters (Å, degrees): 4.715 4.715 4.715 90.00 90.00 90.00
Fractional coordinates of all 5 atoms:
Re1 0.500 0.000 0.000
Re2 0.000 0.500 0.000
Re3 0.000 0.000 0.500
Tc1 0.000 0.000 0.000
Te1 0.500 0.500 0.500

***

Record 14
Material: ReTcTe2
Method: DFT, PBE-GGA
State: optimized geometry

## Properties
The value obtained for the excess energy over the best structure of this formula in the dataset is 112 meV per atom. For the magnetic moment, the calculation gives 0.000 μB per cell. For the uncorrected formation energy, the calculation gives 1.4 eV/f.u. The value obtained for the total energy is -6.929 eV/atom.

Lattice parameters (Å, degrees): 3.050 3.916 7.590 90.00 90.00 90.00
Fractional coordinates of all 4 atoms:
Te1 0.500 0.500 0.348
Te2 0.000 0.000 0.903
Tc1 0.500 0.500 0.701
Re1 0.000 0.000 0.549

***

Record 15
Material: ReTc2Te
Method: DFT, PBE-GGA
State: optimized geometry

## Properties
For the magnetic moment, the calculation gives 0.000 μB per cell. For the uncorrected formation energy, the calculation gives 1.8 eV/f.u. The value obtained for the total energy is -8.635 eV/atom.

Lattice parameters (Å, degrees): 4.944 4.944 4.680 83.42 83.42 35.51
Fractional coordinates of all 4 atoms:
Te1 0.503 0.503 0.485
Tc1 0.997 0.997 0.980
Tc2 0.266 0.266 0.240
Re1 0.733 0.733 0.796

***

Record 16
Material: ReTcTe2
Method: DFT, PBE-GGA
State: optimized geometry

## Properties
The value obtained for the excess energy over the best structure of this formula in the dataset is 89 meV per atom. For the magnetic moment, the calculation gives 0.003 μB per cell. For the uncorrected formation energy, the calculation gives 1.3 eV/f.u. The value obtained for the total energy is -6.953 eV/atom.

Lattice parameters (Å, degrees): 4.314 3.176 6.995 89.82 90.00 90.00
Fractional coordinates of all 4 atoms:
Re1 0.000 0.377 0.586
Te1 0.000 0.878 0.904
Te2 0.500 0.371 0.345
Tc1 0.500 0.873 0.665

***

Record 17
Material: ReTcTe2
Method: DFT, PBE-GGA
State: optimized geometry

## Properties
The value obtained for the excess energy over the best structure of this formula in the dataset is 879 meV per atom. For the magnetic moment, the calculation gives 0.001 μB per cell. For the uncorrected formation energy, the calculation gives 4.4 eV/f.u. The value obtained for the total energy is -6.163 eV/atom.

Lattice parameters (Å, degrees): 5.551 5.379 3.237 73.46 88.20 120.43
Fractional coordinates of all 4 atoms:
Re1 0.000 0.500 0.500
Te1 0.000 0.000 0.000
Te2 0.500 0.000 0.500
Tc1 0.500 0.500 0.000

***

Record 18
Material: ReTcTe2
Method: DFT, PBE-GGA
State: optimized geometry

## Properties
The value obtained for the excess energy over the best structure of this formula in the dataset is 569 meV per atom. For the magnetic moment, the calculation gives 0.001 μB per cell. For the uncorrected formation energy, the calculation gives 3.2 eV/f.u. The value obtained for the total energy is -6.473 eV/atom.

Lattice parameters (Å, degrees): 9.132 9.132 9.132 20.49 20.49 20.49
Fractional coordinates of all 4 atoms:
Te1 0.906 0.906 0.906
Te2 0.094 0.094 0.094
Tc1 0.500 0.500 0.500
Re1 0.000 0.000 0.000

***

Record 19
Material: ReTcTe2
Method: DFT, PBE-GGA
State: optimized geometry

## Properties
The value obtained for the excess energy over the best structure of this formula in the dataset is 0 meV per atom. For the magnetic moment, the calculation gives 0.000 μB per cell. For the uncorrected formation energy, the calculation gives 0.9 eV/f.u. The value obtained for the total energy is -7.042 eV/atom.

Lattice parameters (Å, degrees): 3.128 3.128 8.819 90.00 90.00 90.00
Fractional coordinates of all 4 atoms:
Re1 0.000 0.000 0.523
Te1 0.000 0.000 0.913
Te2 0.500 0.500 0.336
Tc1 0.500 0.500 0.728

***

Record 20
Material: ReTc2Te
Method: DFT, PBE-GGA
State: optimized geometry

## Properties
For the magnetic moment, the calculation gives 0.000 μB per cell. For the uncorrected formation energy, the calculation gives 2.0 eV/f.u. The value obtained for the total energy is -8.571 eV/atom.

Lattice parameters (Å, degrees): 2.999 3.988 5.570 90.00 90.00 90.00
Fractional coordinates of all 4 atoms:
Tc1 0.000 0.000 0.971
Tc2 0.500 0.500 0.254
Re1 0.500 0.500 0.797
Te1 0.000 0.000 0.478